Record 1
Material: MgMnCl2
Method: DFT, PBEsol
State: optimized geometry

Cell lengths 3.185, 5.762, 5.762 Å; angles 61.68, 73.96, 73.96 degrees
Fractional coordinates of all 4 atoms:
Cl: 0.205 0.295 0.295
Cl: 0.046 0.954 0.954
Mn: 0.744 0.756 0.756
Mg: 0.505 0.495 0.495

density of states at the Fermi level = 0.33 states/eV/atom
space-group type = Imm2 (44)
ΔE_f (raw) = -0.49 eV per atom
E_tot = -4.367 eV/atom

Record 2
Material: Na2MgMnCl
Method: DFT, PBEsol
State: optimized geometry

Cell lengths 5.270, 5.717, 5.717 Å; angles 90.00, 90.00, 90.00 degrees
Fractional coordinates of all 5 atoms:
Cl: 0.500 0.500 0.500
Na: 0.000 0.500 0.000
Mn: 0.000 0.000 0.000
Mg: 0.500 0.000 0.000
Na: 0.000 0.000 0.500

density of states at the Fermi level = 1.08 states/eV/atom
space-group type = P4/mmm (123)
ΔE_f (raw) = 0.48 eV per atom
E_tot = -2.773 eV/atom